This record from Alexandria via LeMat-Bulk describes a geometry-optimized Ba2CdAu2 structure. The functional is PBE. Values from VASP.

Properties
Its symmetry is No. 139. Its formation energy from the elements is -0.37 eV/atom. The value obtained for the energy is -2.6350 eV per atom. For the calculated density, the calculation gives 7.8 Mg/m³.

Geometry as Quantum ESPRESSO input:
```
&SYSTEM
  ibrav = 0, nat = 5, ntyp = 3
/
ATOMIC_SPECIES
Ba 137.33 Ba.upf
Cd 112.41 Cd.upf
Au 196.97 Au.upf
CELL_PARAMETERS angstrom
-2.060 2.060 9.754
2.060 -2.060 9.754
2.060 2.060 -9.754
ATOMIC_POSITIONS angstrom
Ba 0.000 0.000 2.229
Ba 0.000 0.000 17.279
Cd 0.000 0.000 9.754
Au 2.060 0.000 4.877
Au 0.000 2.060 4.877
```